Computed, not measured: crystalline NaCa6 at its relaxed geometry at the PBE-GGA level of DFT.

* formation enthalpy at 0 K: 0.25 eV per formula unit

POSCAR file:
```
NaCa6
1.0
3.746 0.000 -0.503
-1.874 8.140 -4.490
0.002 0.000 9.484
Ca Na
6 1
direct
0.242 0.854 0.282
0.612 0.572 0.854
0.758 0.146 0.718
0.040 0.282 0.428
0.960 0.718 0.572
0.388 0.428 0.146
0.500 0.000 0.000
```

---

Computed, not measured: crystalline NdTl5Te4 at its relaxed geometry at the PBE-GGA level of DFT.

* E_form (uncorrected): -5.812 eV/f.u.

POSCAR file:
```
NdTl5Te4
1.0
4.705 0.000 0.000
0.000 8.883 -1.695
-2.353 -3.073 9.770
Te Tl Nd
4 5 1
direct
0.041 0.274 0.083
0.334 0.945 0.668
0.666 0.055 0.332
0.959 0.726 0.917
0.500 0.500 0.000
0.207 0.331 0.413
0.793 0.669 0.587
0.854 0.206 0.708
0.146 0.794 0.292
0.500 0.000 0.000
```

---

Computed, not measured: crystalline CaAgAs at its relaxed geometry at the PBE-GGA level of DFT.

* formation enthalpy at 0 K: -1.55 eV per formula unit

POSCAR file:
```
CaAgAs
1.0
3.389 -0.054 0.361
1.735 5.532 0.582
2.666 2.867 7.582
Ag Ca As
2 2 2
direct
0.572 0.421 0.917
0.787 0.868 0.979
0.918 0.009 0.276
0.441 0.280 0.620
0.205 0.492 0.251
0.154 0.797 0.645
```

---

Number 1: energy -13.08 eV for the cell shown. Number 2: energy -34.98 eV for the cell shown. Number 3: energy -22.10 eV for the cell shown.